{"formula": "SbPWO2", "functional": "GGA+U", "state": "relaxed", "magmom_total_mub_per_fu": 3.6, "total_energy_ev_per_atom": -5.39, "lattice": [[3.927, 0.000, 0.000], [0.000, 3.927, 0.000], [0.000, 0.000, 5.465]], "species": ["Sb", "O", "O", "W", "P"], "frac_coords": [[0.000, 0.000, 0.000], [0.000, 0.500, 0.000], [0.500, 0.000, 0.000], [0.500, 0.500, 0.500], [0.000, 0.000, 0.500]]}